Density functional theory data (GGA-PBE) for a relaxed Y8Co2Cu crystal.

- Raw total energy: -6.383 eV/atom
- ΔH_f (0 K): -0.02 eV/atom

abc: 6.024 7.377 7.377
angles: 111.79 99.20 99.20
Positions (direct):
1 Y 0.376 0.932 0.660
2 Y 0.985 0.222 0.776
3 Y 0.588 0.345 0.076
4 Y 0.180 0.370 0.370
5 Y 0.588 0.076 0.345
6 Y 0.985 0.776 0.222
7 Y 0.376 0.660 0.932
8 Y 0.793 0.639 0.639
9 Co 0.486 0.318 0.693
10 Co 0.486 0.693 0.318
11 Cu 0.157 0.002 0.002